This record from Alexandria describes TbSi3Tc after structural relaxation. The functional is GGA-PBE.

Density   6.4 g/cm³
Raw total energy   -6.77 eV/atom
Raw formation energy   -2.57 eV per formula unit

```
data_TbSi3Tc
_chemical_formula_sum 'Tb2 Si6 Tc2'
_symmetry_space_group_name_H-M 'I 4 m m'
_symmetry_Int_Tables_number 107
_symmetry_space_group_name_Hall 'I 4 -2'
_cell_length_a 4.1796
_cell_length_b 4.1796
_cell_length_c 10.1081
_cell_angle_alpha 90.00
_cell_angle_beta 90.00
_cell_angle_gamma 90.00
loop_
_atom_site_label
_atom_site_type_symbol
_atom_site_fract_x
_atom_site_fract_y
_atom_site_fract_z
Tb1 Tb 0.0000 0.0000 0.0000
Si1 Si 0.0000 0.0000 0.4268
Si2 Si 0.0000 0.5000 0.2696
Tc1 Tc 0.0000 0.0000 0.6601
```